Entry 1:
This record from the Alexandria database describes an optimized crystal structure of BiN. The functional is GGA-PBE.

Output
Magnetization: 0.000 μB/atom
Theoretical density: 7.10 g/cm3
Formation energy (no corrections): 875 meV/atom

abc: 6.788 6.788 6.788
angles: 90.00 90.00 90.00
Fractional positions:
N  0.750  0.000  0.500
Bi  0.750  0.500  0.000
N  0.250  0.000  0.500
N  0.000  0.500  0.750
Bi  0.500  0.000  0.750
N  0.500  0.250  0.000
Bi  0.000  0.750  0.500
N  0.000  0.500  0.250
Bi  0.250  0.500  0.000
N  0.500  0.750  0.000
Bi  0.000  0.250  0.500
Bi  0.500  0.000  0.250

Entry 2:
This record from the Alexandria database describes an optimized crystal structure of SrCuF3. The functional is GGA-PBE.

Output
Density of states at the Fermi level: 0.0000 states/eV per atom
Magnetization: 0.000 μB/atom
Theoretical density: 3.36 g/cm3
Formation energy (no corrections): -2177 meV/atom
Energy above the most stable polymorph in this dataset: 0.229 eV per atom

abc: 4.687 4.687 4.687
angles: 90.00 90.00 90.00
Fractional positions:
Sr  0.000  0.000  0.000
F  0.000  0.000  0.500
F  0.500  0.000  0.000
Cu  0.500  0.500  0.500
F  0.000  0.500  0.000

Entry 3:
This record from the Alexandria database describes an optimized crystal structure of Rb2Mg2TlF7. The functional is GGA-PBE.

Output
Density of states at the Fermi level: 0.0000 states/eV per atom
Magnetization: 0.000 μB/atom
Theoretical density: 4.86 g/cm3
Formation energy (no corrections): -2993 meV/atom

abc: 4.133 4.133 11.525
angles: 79.67 79.67 90.00
Fractional positions:
Mg  0.593  0.593  0.814
Tl  0.000  0.000  0.000
Rb  0.186  0.186  0.627
Rb  0.814  0.814  0.373
F  0.594  0.094  0.812
F  0.500  0.500  0.000
F  0.684  0.684  0.632
Mg  0.407  0.407  0.186
F  0.316  0.316  0.368
F  0.906  0.406  0.188
F  0.406  0.906  0.188
F  0.094  0.594  0.812

Entry 4:
This record from the Alexandria database describes an optimized crystal structure of LiZrTiFe. The functional is GGA-PBE.

Output
Density of states at the Fermi level: 0.8560 states/eV per atom
Magnetization: 0.000 μB/atom
Theoretical density: 5.50 g/cm3
Energy of formation from the pure elements: -0.017 eV per atom

abc: 4.417 4.417 4.417
angles: 60.00 60.00 60.00
Fractional positions:
Fe  0.750  0.750  0.750
Ti  0.500  0.500  0.500
Zr  0.000  0.000  0.000
Li  0.250  0.250  0.250

Entry 5:
This record from the Alexandria database describes an optimized crystal structure of Th3Ga6Rh5. The functional is GGA-PBE.

Output
Density of states at the Fermi level: 0.5961 states/eV per atom
Magnetization: 0.000 μB/atom
Theoretical density: 10.37 g/cm3
Energy of formation from the pure elements: -0.803 eV per atom

abc: 4.221 9.592 12.880
angles: 90.00 90.00 90.00
Fractional positions:
Ga  0.000  0.425  0.500
Th  0.500  0.753  0.806
Ga  0.000  0.988  0.850
Rh  0.500  0.145  0.157
Ga  0.500  0.012  0.650
Ga  0.500  0.972  0.000
Th  0.000  0.247  0.694
Rh  0.000  0.855  0.657
Ga  0.000  0.583  0.318
Ga  0.500  0.575  0.000
Ga  0.000  0.028  0.500
Rh  0.500  0.457  0.612
Rh  0.500  0.145  0.843
Rh  0.000  0.855  0.343
Ga  0.000  0.583  0.682
Rh  0.500  0.203  0.500
Th  0.000  0.271  0.000
Rh  0.500  0.457  0.388
Ga  0.500  0.012  0.350
Rh  0.000  0.797  0.000
Th  0.000  0.247  0.306
Rh  0.000  0.543  0.888
Th  0.500  0.753  0.194
Th  0.500  0.729  0.500
Ga  0.500  0.417  0.818
Rh  0.000  0.543  0.112
Ga  0.500  0.417  0.182
Ga  0.000  0.988  0.150

Copy entry 3 word for word.
This record from the Alexandria database describes an optimized crystal structure of Rb2Mg2TlF7. The functional is GGA-PBE.

Output
Density of states at the Fermi level: 0.0000 states/eV per atom
Magnetization: 0.000 μB/atom
Theoretical density: 4.86 g/cm3
Formation energy (no corrections): -2993 meV/atom

abc: 4.133 4.133 11.525
angles: 79.67 79.67 90.00
Fractional positions:
Mg  0.593  0.593  0.814
Tl  0.000  0.000  0.000
Rb  0.186  0.186  0.627
Rb  0.814  0.814  0.373
F  0.594  0.094  0.812
F  0.500  0.500  0.000
F  0.684  0.684  0.632
Mg  0.407  0.407  0.186
F  0.316  0.316  0.368
F  0.906  0.406  0.188
F  0.406  0.906  0.188
F  0.094  0.594  0.812

> What is the magnetization in the first record?

0.000 μB/atom